(1)
Density functional theory data (GGA-PBE) for an optimized crystal structure of Tl2ZnIn.

abc: 3.8321 5.3193 10.4929
angles: 90.00 90.00 90.00
Space group Immm (No. 71)
Asymmetric unit:
Tl1 0.0000 0.0000 0.2224 [4 per cell]
Zn1 0.0000 0.5000 0.5000 [2 per cell]
In1 0.0000 0.5000 0.0000 [2 per cell]

Output
N(E_F)	3.3	states/eV/cell
E_form	11	kJ per mole of atoms
total moment	0.000	μB per atom



(2)
Density functional theory data (GGA-PBE) for an optimized crystal structure of CrIn3Te.

abc: 5.3335 5.3335 5.3335
angles: 90.00 90.00 90.00
Space group Pm-3m (No. 221)
Asymmetric unit:
Cr1 0.0000 0.0000 0.0000 [1 per cell]
In1 0.0000 0.0000 0.5000 [3 per cell]
Te1 0.5000 0.5000 0.5000 [1 per cell]

Output
N(E_F)	2.2	states/eV/cell
total moment	0.978	μB per atom
E above lowest polymorph	0	meV/atom



(3)
Density functional theory data (GGA-PBE) for an optimized crystal structure of Al2SbRh.

abc: 8.3991 3.1327 5.7224
angles: 90.00 102.94 90.00
Space group C2/m (No. 12)
Asymmetric unit:
Al1 0.2348 0.0000 0.1848 [4 per cell]
Sb1 0.0000 0.0000 0.5000 [2 per cell]
Rh1 0.0000 0.5000 0.0000 [2 per cell]

Output
N(E_F)	3.0	states/eV/cell
total moment	0.000	μB per atom
uncorrected energy	-19.941	eV/f.u.



(4)
Density functional theory data (GGA-PBE) for an optimized crystal structure of Mg5CuAu4.

abc: 3.3149 3.3149 16.0705
angles: 90.00 90.00 90.00
Space group P4/mmm (No. 123)
Asymmetric unit:
Mg1 0.0000 0.0000 0.0000 [1 per cell]
Mg2 0.0000 0.0000 0.2043 [2 per cell]
Mg3 0.0000 0.0000 0.4064 [2 per cell]
Cu1 0.5000 0.5000 0.5000 [1 per cell]
Au1 0.5000 0.5000 0.1025 [2 per cell]
Au2 0.5000 0.5000 0.3078 [2 per cell]

Output
N(E_F)	3.1	states/eV/cell
E_form	-49	kJ per mole of atoms
total moment	0.000	μB per atom



(5)
Density functional theory data (GGA-PBE) for an optimized crystal structure of CsHfBeSn2.

abc: 5.6236 5.6236 5.3937
angles: 90.00 90.00 90.00
Space group P4/mmm (No. 123)
Asymmetric unit:
Cs1 0.0000 0.0000 0.0000 [1 per cell]
Hf1 0.5000 0.5000 0.5000 [1 per cell]
Be1 0.5000 0.5000 0.0000 [1 per cell]
Sn1 0.0000 0.5000 0.5000 [2 per cell]

Output
N(E_F)	3.9	states/eV/cell
E_form	45	kJ per mole of atoms
total moment	0.031	μB per atom



(6)
Density functional theory data (GGA-PBE) for an optimized crystal structure of LiNdBeCd.

abc: 6.7472 6.7472 6.7472
angles: 90.00 90.00 90.00
Space group F-43m (No. 216)
Asymmetric unit:
Li1 0.0000 0.0000 0.0000 [4 per cell]
Nd1 0.2500 0.2500 0.7500 [4 per cell]
Be1 0.0000 0.0000 0.5000 [4 per cell]
Cd1 0.2500 0.2500 0.2500 [4 per cell]

Output
N(E_F)	4.6	states/eV/cell
E_form	-6	kJ per mole of atoms
total moment	0.000	μB per atom



(7)
Density functional theory data (GGA-PBE) for an optimized crystal structure of MgTl2In.

abc: 5.0514 5.0514 16.3665
angles: 90.00 90.00 120.00
Space group R3m (No. 160, hexagonal axes)
Asymmetric unit:
Mg1 0.0000 0.0000 0.0000 [3 per cell]
Tl1 0.0000 0.0000 0.5912 [3 per cell]
Tl2 0.0000 0.0000 0.7834 [3 per cell]
In1 0.0000 0.0000 0.1941 [3 per cell]

Output
N(E_F)	5.7	states/eV/cell
E_form	10	kJ per mole of atoms
total moment	0.000	μB per atom



(8)
Density functional theory data (GGA-PBE) for an optimized crystal structure of Tb2Sm6DyTm.

abc: 9.1596 15.2230 9.6014
angles: 90.00 97.53 90.00
Space group C2/c (No. 15)
Asymmetric unit:
Tb1 0.2491 0.0505 0.4553 [8 per cell]
Sm1 0.0599 0.3185 0.9454 [8 per cell]
Sm2 0.1015 0.1081 0.1186 [8 per cell]
Sm3 0.2099 0.2773 0.3125 [8 per cell]
Dy1 0.0000 0.4751 0.2500 [4 per cell]
Tm1 0.0000 0.0896 0.7500 [4 per cell]

Output
N(E_F)	54.2	states/eV/cell
E_form	11	kJ per mole of atoms
total moment	0.000	μB per atom